1.
A relaxed structure of Pm3Nd5Sm2, computed with PBE.

a b c (Å): 9.5650 22.3298 6.9297
angles (deg): 90.00 90.00 90.00
Closest atoms and distances in Å follow each position.
Space group Ibam (No. 72)
Asymmetric unit:
Pm: 0.0000 0.0000 0.2500  4 Sm 3.39, 2 Pm 3.46
Pm: 0.2493 0.1235 0.0000  1 Sm 3.27, 1 Nd 3.34
Nd: 0.0000 0.2495 0.2500  2 Sm 3.40, 4 Nd 3.42-3.46
Nd: 0.0000 0.5000 0.2500  6 Nd 3.42-3.46
Nd: 0.0980 0.3750 0.0000  1 Sm 2.96
Sm: 0.0930 0.1245 0.5000  1 Nd 2.96, 1 Pm 3.27

Calculated values
Fermi-level density of states ... 1.557 states/eV per atom
Formation energy from the elements ... 0.35 eV per atom
V ... 1480.1 Å³ per cell
DFT total energy ... -176.11 eV per cell

2.
A relaxed structure of Pm4Nd3Sm5, computed with PBE.

a b c (Å): 16.3458 6.0573 9.4417
angles (deg): 90.00 115.96 90.00
Closest atoms and distances in Å follow each position.
Space group C2/m (No. 12)
Asymmetric unit:
Pm: 0.0826 0.0000 0.4423  2 Pm 3.33-3.71, 1 Nd 3.46, 3 Sm 3.50-3.60
Pm: 0.2114 0.0000 0.8779  3 Nd 3.32-3.61, 3 Pm 3.68-3.71, 2 Sm 3.71
Nd: 0.0000 0.5000 0.0000  2 Sm 3.03
Nd: 0.2083 0.0000 0.2273  3 Sm 3.13-3.32, 2 Pm 3.32-3.46
Sm: 0.0000 0.0000 0.0000  4 Nd 3.03-3.13
Sm: 0.0735 0.5000 0.6982  2 Nd 3.32-3.54, 1 Sm 3.45, 2 Pm 3.71
Sm: 0.1726 0.5000 0.3891  4 Nd 3.28-3.55, 3 Pm 3.50-3.60

Calculated values
Fermi-level density of states ... 1.669 states/eV per atom
Formation energy from the elements ... 0.20 eV per atom
V ... 840.5 Å³ per cell
DFT total energy ... -108.89 eV per cell

3.
A relaxed structure of Pm3Nd2Sm3, computed with PBE.

a b c (Å): 5.9163 6.1085 8.7404
angles (deg): 110.25 109.63 90.25
Closest atoms and distances in Å follow each position.
Space group P-1 (No. 2)
Asymmetric unit:
Pm: 0.0000 0.0000 0.0000  2 Pm 3.39, 4 Sm 3.58-3.59
Pm: 0.1321 0.6862 0.2638  1 Pm 3.39, 4 Nd 3.48-3.62, 3 Sm 3.60-3.63
Nd: 0.2497 0.3161 0.5000  5 Pm 3.48-3.85, 5 Sm 3.49-3.85, 2 Nd 3.71-3.72
Sm: 0.3699 0.9209 0.7384  1 Sm 3.40, 4 Nd 3.49-3.63, 4 Pm 3.58-3.80
Sm: 0.5000 0.5000 0.0000  2 Sm 3.40, 4 Pm 3.60

Calculated values
Fermi-level density of states ... 1.653 states/eV per atom
Formation energy from the elements ... 0.08 eV per atom
V ... 276.5 Å³ per cell
DFT total energy ... -37.27 eV per cell

4.
A relaxed structure of Pm2NdSm9, computed with PBE.

a b c (Å): 11.4973 11.4973 3.5589
angles (deg): 90.00 90.00 120.00
Closest atoms and distances in Å follow each position.
Space group P6/mmm (No. 191)
Asymmetric unit:
Pm: 0.3333 0.6667 0.0000  9 Sm 3.32-3.63, 2 Pm 3.56
Nd: 0.0000 0.0000 0.0000  2 Nd 3.56, 12 Sm 3.90
Sm: 0.0000 0.5000 0.0000  2 Pm 3.32, 10 Sm 3.56-3.70
Sm: 0.1744 0.3488 0.5000  8 Sm 3.47-3.70, 2 Pm 3.63

Calculated values
Fermi-level density of states ... 1.238 states/eV per atom
Formation energy from the elements ... 0.04 eV per atom
V ... 407.4 Å³ per cell
DFT total energy ... -56.24 eV per cell